{
  "formula": "Ac2CoHO6",
  "functional": "PBE+U",
  "state": "relaxed",
  "cell": [[4.4578, -2.8167, 0.0000], [4.4578, 2.8167, 0.0000], [-3.7672, 0.0000, 4.7600]],
  "species": ["Ac", "Ac", "Co", "H", "O", "O", "O", "O", "O", "O"],
  "fractional_positions": [[0.2493, 0.2493, 0.2297], [0.7507, 0.7507, 0.7703], [0.0000, 0.0000, 0.5000], [0.5000, 0.5000, 0.0000], [0.1996, 0.7488, 0.6873], [0.2512, 0.8004, 0.3127], [0.3162, 0.3162, 0.8653], [0.6838, 0.6838, 0.1347], [0.7488, 0.1996, 0.6873], [0.8004, 0.2512, 0.3127]],
  "vol_a3_per_atom": 11.95,
  "e_tot_ev_per_cell": -65.1,
  "magmom_total_mub_per_fu": 2.6
}